## NbHgRh2 (PBE)

Data for a relaxed structure of NbHgRh2.

abc: 5.837 5.837 5.837
angles: 104.25 104.25 120.51
Fractional coordinates of all 8 atoms:
Nb: 0.000 0.000 0.000
Nb: 0.750 0.250 0.500
Hg: 0.250 0.750 0.500
Hg: 0.500 0.500 0.000
Rh: 0.090 0.625 0.965
Rh: 0.375 0.340 0.465
Rh: 0.660 0.125 0.035
Rh: 0.875 0.910 0.535

Values from the calculation:
E: -6.10 eV per atom

***

## TbEr12Sc7 (PBE)

Data for a relaxed structure of TbEr12Sc7.

abc: 9.414 9.414 9.414
angles: 109.47 109.47 109.47
Fractional coordinates of all 20 atoms:
Tb: 0.000 0.000 0.000
Er: 0.000 0.259 0.741
Er: 0.000 0.741 0.259
Er: 0.259 0.000 0.741
Er: 0.259 0.259 0.518
Er: 0.259 0.518 0.259
Er: 0.259 0.741 0.000
Er: 0.482 0.741 0.741
Er: 0.518 0.259 0.259
Er: 0.741 0.000 0.259
Er: 0.741 0.259 0.000
Er: 0.741 0.482 0.741
Er: 0.741 0.741 0.482
Sc: 0.000 0.000 0.500
Sc: 0.000 0.500 0.000
Sc: 0.000 0.500 0.500
Sc: 0.500 0.000 0.000
Sc: 0.500 0.000 0.500
Sc: 0.500 0.500 0.000
Sc: 0.500 0.500 0.500

Values from the calculation:
distance to the lowest polymorph of the same formula: 420 meV/atom

***

## ThSeS (PBE)

Data for a relaxed structure of ThSeS.

abc: 5.356 5.356 5.356
angles: 138.32 138.32 60.41
Fractional coordinates of all 3 atoms:
Th: 0.000 0.000 0.000
Se: 0.337 0.337 0.000
S: 0.647 0.647 0.000

Values from the calculation:
distance to the lowest polymorph of the same formula: 241 meV/atom

***

## CePuIn (PBE)

Data for a relaxed structure of CePuIn.

abc: 3.933 3.933 6.458
angles: 107.72 107.72 59.90
Fractional coordinates of all 3 atoms:
Ce: 0.000 0.000 0.000
Pu: 0.742 0.742 0.224
In: 0.534 0.534 0.599

Values from the calculation:
distance to the lowest polymorph of the same formula: 267 meV/atom

***

## SrGdRh (PBE)

Data for a relaxed structure of SrGdRh.

abc: 7.305 7.305 7.305
angles: 151.69 151.69 40.47
Fractional coordinates of all 3 atoms:
Sr: 0.000 0.000 0.000
Gd: 0.253 0.253 0.000
Rh: 0.652 0.652 0.000

Values from the calculation:
distance to the lowest polymorph of the same formula: 0 meV/atom

***

## Pu4Pt3 (PBE)

Data for a relaxed structure of Pu4Pt3.

abc: 7.557 7.557 7.557
angles: 110.00 110.00 110.00
Fractional coordinates of all 14 atoms:
Pu: 0.000 0.000 0.000
Pu: 0.134 0.646 0.272
Pu: 0.272 0.134 0.646
Pu: 0.354 0.728 0.866
Pu: 0.500 0.500 0.500
Pu: 0.646 0.272 0.134
Pu: 0.728 0.866 0.354
Pu: 0.866 0.354 0.728
Pt: 0.045 0.306 0.420
Pt: 0.306 0.420 0.045
Pt: 0.420 0.045 0.306
Pt: 0.580 0.955 0.694
Pt: 0.694 0.580 0.955
Pt: 0.955 0.694 0.580

Values from the calculation:
distance to the lowest polymorph of the same formula: 47 meV/atom

***

## Tb6Au2Se3S (PBE)

Data for a relaxed structure of Tb6Au2Se3S.

abc: 9.397 9.397 8.414
angles: 107.23 107.23 24.66
Fractional coordinates of all 12 atoms:
Tb: 0.005 0.005 0.241
Tb: 0.335 0.335 0.896
Tb: 0.340 0.340 0.397
Tb: 0.660 0.660 0.603
Tb: 0.665 0.665 0.104
Tb: 0.995 0.995 0.759
Au: 0.177 0.177 0.366
Au: 0.823 0.823 0.634
Se: 0.162 0.162 0.853
Se: 0.500 0.500 0.500
Se: 0.838 0.838 0.147
S: 0.500 0.500 0.000

Values from the calculation:
E: -5.56 eV per atom

***

## VCrCuS4 (PBE)

Data for a relaxed structure of VCrCuS4.

abc: 6.991 6.991 6.991
angles: 121.72 119.16 89.25
Fractional coordinates of all 14 atoms:
V: 0.500 0.000 0.000
V: 0.500 0.500 0.500
Cr: 0.000 0.000 0.000
Cr: 0.500 0.000 0.500
Cu: 0.122 0.372 0.750
Cu: 0.878 0.628 0.250
S: 0.253 0.241 0.011
S: 0.260 0.246 0.486
S: 0.260 0.773 0.014
S: 0.270 0.759 0.511
S: 0.730 0.241 0.489
S: 0.740 0.227 0.986
S: 0.740 0.754 0.514
S: 0.747 0.759 0.989

Values from the calculation:
E: -6.32 eV per atom

***

Q: What is the formula in the first record?
A: NbHgRh2